Record 1
Below is a geometry-optimized Tb4ThSc3Se8 structure, with properties calculated at the GGA-PBE level.

a = 8.070 Å, b = 8.070 Å, c = 8.070 Å
α = 60.11°, β = 60.11°, γ = 60.11°
Sites, in units of the cell vectors:
1 Tb 0.000 0.000 0.000
2 Tb 0.000 0.500 0.500
3 Tb 0.500 0.000 0.500
4 Tb 0.500 0.500 0.000
5 Th 0.500 0.500 0.500
6 Sc 0.000 0.000 0.500
7 Sc 0.000 0.500 0.000
8 Sc 0.500 0.000 0.000
9 Se 0.234 0.754 0.754
10 Se 0.244 0.244 0.244
11 Se 0.246 0.246 0.766
12 Se 0.246 0.766 0.246
13 Se 0.754 0.234 0.754
14 Se 0.754 0.754 0.234
15 Se 0.756 0.756 0.756
16 Se 0.766 0.246 0.246

Properties
Symmetry ... R-3m, No. 166

---

Record 2
Below is a geometry-optimized TbScTl2Se4 structure, with properties calculated at the GGA-PBE level.

a = 7.088 Å, b = 4.095 Å, c = 8.103 Å
α = 90.00°, β = 106.93°, γ = 90.00°
Sites, in units of the cell vectors:
1 Tb 0.000 0.000 0.000
2 Sc 0.500 0.500 0.000
3 Tl 0.000 0.500 0.500
4 Tl 0.500 0.000 0.500
5 Se 0.246 0.500 0.202
6 Se 0.279 0.000 0.803
7 Se 0.721 0.000 0.197
8 Se 0.754 0.500 0.798

Properties
Symmetry ... P2/m, No. 10

---

Record 3
Below is a geometry-optimized Tb3ScTl4Se8 structure, with properties calculated at the GGA-PBE level.

a = 9.123 Å, b = 9.123 Å, c = 9.123 Å
α = 54.11°, β = 54.11°, γ = 54.11°
Sites, in units of the cell vectors:
1 Tb 0.000 0.500 0.500
2 Tb 0.500 0.000 0.500
3 Tb 0.500 0.500 0.000
4 Sc 0.000 0.000 0.000
5 Tl 0.000 0.000 0.500
6 Tl 0.000 0.500 0.000
7 Tl 0.500 0.000 0.000
8 Tl 0.500 0.500 0.500
9 Se 0.228 0.228 0.745
10 Se 0.228 0.745 0.228
11 Se 0.255 0.772 0.772
12 Se 0.264 0.264 0.264
13 Se 0.736 0.736 0.736
14 Se 0.745 0.228 0.228
15 Se 0.772 0.255 0.772
16 Se 0.772 0.772 0.255

Properties
Symmetry ... R-3m, No. 166

---

Record 4
Below is a geometry-optimized TbSc2Tl3Se6 structure, with properties calculated at the GGA-PBE level.

a = 7.019 Å, b = 7.019 Å, c = 8.090 Å
α = 98.32°, β = 98.32°, γ = 119.95°
Sites, in units of the cell vectors:
1 Tb 0.000 0.000 0.000
2 Sc 0.333 0.667 0.000
3 Sc 0.667 0.333 0.000
4 Tl 0.163 0.837 0.500
5 Tl 0.500 0.500 0.500
6 Tl 0.837 0.163 0.500
7 Se 0.066 0.413 0.199
8 Se 0.282 0.282 0.804
9 Se 0.413 0.066 0.199
10 Se 0.587 0.934 0.801
11 Se 0.718 0.718 0.196
12 Se 0.934 0.587 0.801

Properties
Symmetry ... C2/m, No. 12

---

Record 5
Below is a geometry-optimized Tb3ScTl3Se8 structure, with properties calculated at the GGA-PBE level.

a = 9.020 Å, b = 9.020 Å, c = 9.020 Å
α = 54.54°, β = 54.54°, γ = 54.54°
Sites, in units of the cell vectors:
1 Tb 0.000 0.500 0.500
2 Tb 0.500 0.000 0.500
3 Tb 0.500 0.500 0.000
4 Sc 0.000 0.000 0.000
5 Tl 0.000 0.000 0.500
6 Tl 0.000 0.500 0.000
7 Tl 0.500 0.000 0.000
8 Se 0.227 0.227 0.748
9 Se 0.227 0.748 0.227
10 Se 0.252 0.773 0.773
11 Se 0.263 0.263 0.263
12 Se 0.737 0.737 0.737
13 Se 0.748 0.227 0.227
14 Se 0.773 0.252 0.773
15 Se 0.773 0.773 0.252

Properties
Symmetry ... R-3m, No. 166

---

Record 6
Below is a geometry-optimized Tb3Tm2ScSe6 structure, with properties calculated at the GGA-PBE level.

a = 9.034 Å, b = 9.034 Å, c = 8.114 Å
α = 103.64°, β = 103.64°, γ = 25.70°
Sites, in units of the cell vectors:
1 Tb 0.000 0.000 0.000
2 Tb 0.332 0.332 0.665
3 Tb 0.668 0.668 0.335
4 Tm 0.334 0.334 0.169
5 Tm 0.666 0.666 0.831
6 Sc 0.000 0.000 0.500
7 Se 0.162 0.162 0.586
8 Se 0.169 0.169 0.079
9 Se 0.499 0.499 0.261
10 Se 0.501 0.501 0.739
11 Se 0.831 0.831 0.921
12 Se 0.838 0.838 0.414

Properties
Symmetry ... C2/m, No. 12

---

Calculated formation energy without anion corrections in order - -26.308; -10.515; -21.603; -15.558; -20.455; -20.430 eV/f.u.